No. 1
# SrIn2Ni PBE relaxed
# Spin magnetization = 0.05 Bohr magnetons per cell
data_SrIn2Ni
_chemical_formula_sum 'Sr4 In8 Ni4'
_space_group_name_H-M_alt 'F -4 3 m'
_space_group_IT_number 216
_space_group_name_Hall 'F -4 2 3'
_cell_length_a 7.216
_cell_length_b 7.216
_cell_length_c 7.216
_cell_angle_alpha 90.00
_cell_angle_beta 90.00
_cell_angle_gamma 90.00
loop_
_atom_site_label
_atom_site_fract_x
_atom_site_fract_y
_atom_site_fract_z
_atom_site_occupancy
Sr1 0.000 0.000 0.000 1
In1 0.000 0.000 0.500 1
In2 0.250 0.250 0.250 1
Ni1 0.250 0.250 0.750 1



No. 2
# TaInTcNi PBE relaxed
# Spin magnetization = 0.03 Bohr magnetons per cell
# Energy relative to the lowest polymorph listed for this composition = 0.0 meV per atom
data_TaInTcNi
_chemical_formula_sum 'Ta4 In4 Tc4 Ni4'
_space_group_name_H-M_alt 'F -4 3 m'
_space_group_IT_number 216
_space_group_name_Hall 'F -4 2 3'
_cell_length_a 6.332
_cell_length_b 6.332
_cell_length_c 6.332
_cell_angle_alpha 90.00
_cell_angle_beta 90.00
_cell_angle_gamma 90.00
loop_
_atom_site_label
_atom_site_fract_x
_atom_site_fract_y
_atom_site_fract_z
_atom_site_occupancy
Ta1 0.000 0.000 0.000 1
In1 0.000 0.000 0.500 1
Tc1 0.250 0.250 0.250 1
Ni1 0.250 0.250 0.750 1



No. 3
# TaInTcNi PBE relaxed
# Spin magnetization = 0.08 Bohr magnetons per cell
# Energy relative to the lowest polymorph listed for this composition = 345.3 meV per atom
data_TaInTcNi
_chemical_formula_sum 'Ta4 In4 Tc4 Ni4'
_space_group_name_H-M_alt 'F -4 3 m'
_space_group_IT_number 216
_space_group_name_Hall 'F -4 2 3'
_cell_length_a 6.371
_cell_length_b 6.371
_cell_length_c 6.371
_cell_angle_alpha 90.00
_cell_angle_beta 90.00
_cell_angle_gamma 90.00
loop_
_atom_site_label
_atom_site_fract_x
_atom_site_fract_y
_atom_site_fract_z
_atom_site_occupancy
Ta1 0.000 0.000 0.000 1
In1 0.250 0.250 0.250 1
Tc1 0.250 0.250 0.750 1
Ni1 0.000 0.000 0.500 1



No. 4
# YTaInNi PBE relaxed
# Spin magnetization = 11.90 Bohr magnetons per cell
data_YTaInNi
_chemical_formula_sum 'Y4 Ta4 In4 Ni4'
_space_group_name_H-M_alt 'F -4 3 m'
_space_group_IT_number 216
_space_group_name_Hall 'F -4 2 3'
_cell_length_a 6.841
_cell_length_b 6.841
_cell_length_c 6.841
_cell_angle_alpha 90.00
_cell_angle_beta 90.00
_cell_angle_gamma 90.00
loop_
_atom_site_label
_atom_site_fract_x
_atom_site_fract_y
_atom_site_fract_z
_atom_site_occupancy
Y1 0.000 0.000 0.000 1
Ta1 0.250 0.250 0.250 1
In1 0.000 0.000 0.500 1
Ni1 0.250 0.250 0.750 1



No. 5
# Tb4In20Ni11 PBE relaxed
# Spin magnetization = 0.00 Bohr magnetons per cell
data_Tb4In20Ni11
_chemical_formula_sum 'Tb8 In40 Ni22'
_space_group_name_H-M_alt 'C 1 2/m 1'
_space_group_IT_number 12
_cell_length_a 22.669
_cell_length_b 4.344
_cell_length_c 16.664
_cell_angle_alpha 90.00
_cell_angle_beta 124.59
_cell_angle_gamma 90.00
loop_
_space_group_symop_operation_xyz
'x,y,z'
'-x,-y,-z'
'-x,y,-z'
'x,-y,z'
'x+1/2,y+1/2,z'
'-x+1/2,-y+1/2,-z'
'-x+1/2,y+1/2,-z'
'x+1/2,-y+1/2,z'
loop_
_atom_site_label
_atom_site_fract_x
_atom_site_fract_y
_atom_site_fract_z
_atom_site_occupancy
Tb1 0.119 0.000 0.332 1
Tb2 0.229 0.000 0.825 1
In1 0.010 0.000 0.095 1
In2 0.041 0.500 0.378 1
In3 0.064 0.000 0.790 1
In4 0.102 0.500 0.992 1
In5 0.111 0.500 0.691 1
In6 0.115 0.000 0.551 1
In7 0.128 0.500 0.196 1
In8 0.202 0.000 0.003 1
In9 0.203 0.500 0.502 1
In10 0.246 0.000 0.291 1
Ni1 0.000 0.500 0.500 1
Ni2 0.006 0.500 0.194 1
Ni3 0.022 0.000 0.600 1
Ni4 0.136 0.000 0.103 1
Ni5 0.153 0.500 0.879 1
Ni6 0.247 0.500 0.383 1



No. 6
# Tb12InNi6 PBE relaxed
# Spin magnetization = 0.28 Bohr magnetons per cell
data_Tb12InNi6
_chemical_formula_sum 'Tb24 In2 Ni12'
_space_group_name_H-M_alt 'I m -3'
_space_group_IT_number 204
_space_group_name_Hall '-I 2 2 3'
_cell_length_a 9.738
_cell_length_b 9.738
_cell_length_c 9.738
_cell_angle_alpha 90.00
_cell_angle_beta 90.00
_cell_angle_gamma 90.00
loop_
_atom_site_label
_atom_site_fract_x
_atom_site_fract_y
_atom_site_fract_z
_atom_site_occupancy
Tb1 0.000 0.304 0.187 1
In1 0.000 0.000 0.000 1
Ni1 0.000 0.123 0.500 1



No. 7
# Tb2InNi2 PBE relaxed
# Spin magnetization = 0.01 Bohr magnetons per cell
data_Tb2InNi2
_chemical_formula_sum 'Tb4 In2 Ni4'
_space_group_name_H-M_alt 'C m m m'
_space_group_IT_number 65
_space_group_name_Hall '-C 2 2'
_cell_length_a 3.929
_cell_length_b 14.290
_cell_length_c 3.672
_cell_angle_alpha 90.00
_cell_angle_beta 90.00
_cell_angle_gamma 90.00
loop_
_atom_site_label
_atom_site_fract_x
_atom_site_fract_y
_atom_site_fract_z
_atom_site_occupancy
Tb1 0.000 0.138 0.000 1
In1 0.000 0.500 0.500 1
Ni1 0.000 0.301 0.500 1



No. 8
# Tb5In4Ni2 PBE relaxed
# Spin magnetization = 0.50 Bohr magnetons per cell
data_Tb5In4Ni2
_chemical_formula_sum 'Tb10 In8 Ni4'
_space_group_name_H-M_alt 'P b a m'
_space_group_IT_number 55
_cell_length_a 7.984
_cell_length_b 18.006
_cell_length_c 3.630
_cell_angle_alpha 90.00
_cell_angle_beta 90.00
_cell_angle_gamma 90.00
loop_
_space_group_symop_operation_xyz
'x,y,z'
'-x,-y,-z'
'-x,-y,z'
'x,y,-z'
'x+1/2,-y+1/2,-z'
'-x+1/2,y+1/2,z'
'-x+1/2,y+1/2,-z'
'x+1/2,-y+1/2,z'
loop_
_atom_site_label
_atom_site_fract_x
_atom_site_fract_y
_atom_site_fract_z
_atom_site_occupancy
Tb1 0.000 0.000 0.000 1
Tb2 0.117 0.413 0.000 1
Tb3 0.247 0.222 0.000 1
In1 0.071 0.848 0.500 1
In2 0.207 0.570 0.500 1
Ni1 0.025 0.305 0.500 1



Let's list calculated total energy in order: -3.183; -7.673; -7.328; -6.315; -4.141; -5.188; -5.160; -4.638 eV per atom.